1.
# AlAsPd2

AlAsPd2 after structural relaxation (PBE, Alexandria via LeMat-Bulk).

Results
The calculation puts the energy above the most stable polymorph in this dataset at 79.8 meV/atom. As for the energy relative to the elements: -0.464 eV per atom. The calculated total energy comes out at -20.63 eV for the cell shown.

Cell lengths 3.187, 4.439, 4.439 Å; angles 90.00, 90.00, 90.00 degrees
Fractional positions:
As1 0.500 0.500 0.500
Al1 0.500 0.000 0.000
Pd1 0.000 0.000 0.500
Pd2 0.000 0.500 0.000

2.
# AcPrBiSe

AcPrBiSe after structural relaxation (PBE, Alexandria via LeMat-Bulk).

Results
The uncorrected formation energy comes out at -1.219 eV per atom. The calculated total energy comes out at -42.26 eV for the cell shown.

Cell lengths 5.375, 5.375, 12.171 Å; angles 77.24, 77.24, 60.00 degrees
Fractional positions:
Ac1 0.617 0.617 0.149
Ac2 0.383 0.383 0.851
Pr1 0.796 0.796 0.611
Pr2 0.204 0.204 0.389
Bi1 0.109 0.109 0.673
Bi2 0.891 0.891 0.327
Se1 0.704 0.704 0.888
Se2 0.296 0.296 0.112

3.
# Pm5TmCd4

Pm5TmCd4 after structural relaxation (PBE, Alexandria via LeMat-Bulk).

Results
As for the energy relative to the elements: -0.240 eV per atom. The calculated total energy comes out at -34.28 eV for the cell shown.

Cell lengths 3.778, 3.778, 20.362 Å; angles 90.00, 90.00, 90.00 degrees
Fractional positions:
Pm1 0.500 0.500 0.116
Pm2 0.500 0.500 0.309
Pm3 0.500 0.500 0.500
Pm4 0.500 0.500 0.691
Pm5 0.500 0.500 0.884
Tm1 0.000 0.000 0.000
Cd1 0.000 0.000 0.211
Cd2 0.000 0.000 0.404
Cd3 0.000 0.000 0.596
Cd4 0.000 0.000 0.789

4.
# Lu2MgBe

Lu2MgBe after structural relaxation (PBE, Alexandria via LeMat-Bulk).

Results
The calculation puts the energy above the most stable polymorph in this dataset at 105.9 meV/atom. As for the energy relative to the elements: 0.100 eV per atom. The calculated total energy comes out at -13.96 eV for the cell shown.

Cell lengths 3.631, 4.931, 4.931 Å; angles 90.00, 90.00, 90.00 degrees
Fractional positions:
Be1 0.500 0.000 0.000
Mg1 0.500 0.500 0.500
Lu1 0.000 0.000 0.500
Lu2 0.000 0.500 0.000

5.
# Pr2GaPdS5

Pr2GaPdS5 after structural relaxation (PBE, Alexandria via LeMat-Bulk).

Results
The uncorrected formation energy comes out at -1.276 eV per atom. The calculated total energy comes out at -99.79 eV for the cell shown.

Cell lengths 3.883, 9.039, 11.473 Å; angles 90.00, 90.00, 102.40 degrees
Fractional positions:
Pr1 0.875 0.750 0.794
Pr2 0.118 0.236 0.679
Pr3 0.125 0.250 0.294
Pr4 0.882 0.764 0.179
Ga1 0.573 0.146 0.952
Ga2 0.427 0.854 0.452
Pd1 0.756 0.511 0.569
Pd2 0.244 0.489 0.069
S1 0.368 0.735 0.985
S2 0.681 0.362 0.846
S3 0.502 0.004 0.779
S4 0.291 0.583 0.663
S5 0.959 0.917 0.558
S6 0.632 0.265 0.485
S7 0.319 0.638 0.346
S8 0.498 0.996 0.279
S9 0.709 0.417 0.163
S10 0.041 0.083 0.058

6.
# Ag4Pd4Au

Ag4Pd4Au after structural relaxation (PBE, Alexandria via LeMat-Bulk).

Results
The calculation puts the energy above the most stable polymorph in this dataset at 241.7 meV/atom. As for the energy relative to the elements: 0.190 eV per atom. The calculated total energy comes out at -67.49 eV for the cell shown.

Cell lengths 5.828, 5.828, 9.797 Å; angles 90.00, 90.00, 90.00 degrees
Fractional positions:
Ag1 0.500 0.747 0.765
Ag2 0.500 0.253 0.765
Ag3 0.747 0.500 0.235
Ag4 0.253 0.500 0.235
Ag5 0.247 0.000 0.265
Ag6 0.753 0.000 0.265
Ag7 0.000 0.247 0.735
Ag8 0.000 0.753 0.735
Pd1 0.216 0.500 0.943
Pd2 0.784 0.500 0.943
Pd3 0.500 0.784 0.057
Pd4 0.500 0.216 0.057
Pd5 0.000 0.716 0.443
Pd6 0.000 0.284 0.443
Pd7 0.284 0.000 0.557
Pd8 0.716 0.000 0.557
Au1 0.000 0.000 0.000
Au2 0.500 0.500 0.500

7.
# CsTe2PdI

CsTe2PdI after structural relaxation (PBE, Alexandria via LeMat-Bulk).

Results
The uncorrected formation energy comes out at -0.375 eV per atom. The calculation puts the energy above the most stable polymorph in this dataset at 0.0 meV/atom. The calculated total energy comes out at -15.75 eV for the cell shown.

Cell lengths 5.430, 5.430, 5.908 Å; angles 90.00, 90.00, 90.00 degrees
Fractional positions:
Cs1 0.500 0.500 0.500
I1 0.000 0.000 0.500
Te1 0.000 0.500 0.000
Te2 0.500 0.000 0.000
Pd1 0.000 0.000 0.000

8.
# TmLuTl2

TmLuTl2 after structural relaxation (PBE, Alexandria via LeMat-Bulk).

Results
The calculation puts the energy above the most stable polymorph in this dataset at 2.4 meV/atom. As for the energy relative to the elements: -0.278 eV per atom. The calculated total energy comes out at -14.84 eV for the cell shown.

Cell lengths 5.298, 5.298, 5.298 Å; angles 60.00, 60.00, 60.00 degrees
Fractional positions:
Tl1 0.250 0.250 0.250
Tl2 0.750 0.750 0.750
Lu1 0.500 0.500 0.500
Tm1 0.000 0.000 0.000

Size of the total moment for every record listed, in sequence, given in μB/cell: 0.0 0.0 1.0 0.0 0.0 0.0 0.0 0.0.